(1)
## K3NbCl (PBE)

Data for crystalline K3NbCl at its relaxed geometry.

Lattice parameters (Å, degrees): 6.039 6.039 6.039 90.00 90.00 90.00
Positions (direct):
K 0.000 0.000 0.500
K 0.000 0.500 0.000
K 0.500 0.000 0.000
Nb 0.500 0.500 0.500
Cl 0.000 0.000 0.000

Symmetry: Pm-3m (221)
Total magnetic moment (μB per formula unit): 5.0
DFT total energy (eV per atom): -2.83
ΔE_f (raw) (meV per atom): 211
V (Å³ per cell): 220.26

---

(2)
## CaYRu (PBE)

Data for crystalline CaYRu at its relaxed geometry.

Lattice parameters (Å, degrees): 6.813 6.813 6.813 90.00 90.00 90.00
Positions (direct):
Ca 0.000 0.000 0.000
Ca 0.000 0.500 0.500
Ca 0.500 0.000 0.500
Ca 0.500 0.500 0.000
Y 0.000 0.000 0.500
Y 0.000 0.500 0.000
Y 0.500 0.000 0.000
Y 0.500 0.500 0.500
Ru 0.250 0.250 0.250
Ru 0.250 0.750 0.750
Ru 0.750 0.250 0.750
Ru 0.750 0.750 0.250

Symmetry: F-43m (216)
Total magnetic moment (μB per formula unit): 0.0
DFT total energy (eV per atom): -5.84
Energy of formation from the pure elements (eV per atom): 0.078
V (Å³ per cell): 316.17

---

(3)
## K2NpTcN4 (PBE)

Data for crystalline K2NpTcN4 at its relaxed geometry.

Lattice parameters (Å, degrees): 7.102 7.452 5.970 90.00 90.00 90.00
Positions (direct):
K 0.249 0.157 0.000
K 0.251 0.843 0.500
K 0.749 0.843 0.500
K 0.751 0.157 0.000
Np 0.000 0.364 0.484
Np 0.500 0.636 0.984
Tc 0.000 0.650 0.971
Tc 0.500 0.350 0.471
N 0.000 0.435 0.129
N 0.000 0.610 0.669
N 0.224 0.775 0.026
N 0.276 0.225 0.526
N 0.500 0.390 0.169
N 0.500 0.565 0.629
N 0.724 0.225 0.526
N 0.776 0.775 0.026

Symmetry: Pmn2_1 (31)
Total magnetic moment (μB per formula unit): 4.0
DFT total energy (eV per atom): -7.65
ΔE_f (raw) (meV per atom): -300
V (Å³ per cell): 315.97

---

(4)
## Zr4ZnFe (PBE)

Data for crystalline Zr4ZnFe at its relaxed geometry.

Lattice parameters (Å, degrees): 6.530 6.530 5.531 90.00 90.00 90.00
Positions (direct):
Zr 0.149 0.320 0.000
Zr 0.149 0.680 0.500
Zr 0.320 0.149 0.500
Zr 0.320 0.851 0.000
Zr 0.680 0.149 0.000
Zr 0.680 0.851 0.500
Zr 0.851 0.320 0.500
Zr 0.851 0.680 0.000
Zn 0.500 0.500 0.250
Zn 0.500 0.500 0.750
Fe 0.000 0.000 0.250
Fe 0.000 0.000 0.750

Symmetry: P4/mcc (124)
Total magnetic moment (μB per formula unit): 0.0
DFT total energy (eV per atom): -7.48
Energy of formation from the pure elements (eV per atom): -0.154
V (Å³ per cell): 235.82